Computed, not measured: a geometry-optimized SmTm3Th2 structure at the PBE level of DFT.

a = 6.6334 Å, b = 6.6334 Å, c = 11.3279 Å
α = 90.00°, β = 90.00°, γ = 117.19°
Positions (direct):
Sm 0.0016 0.9984 0.7500
Sm 0.9984 0.0016 0.2500
Tm 0.0016 0.4983 0.7500
Tm 0.4983 0.0016 0.2500
Tm 0.4985 0.5015 0.2500
Tm 0.5015 0.4985 0.7500
Tm 0.5017 0.9984 0.7500
Tm 0.9984 0.5017 0.2500
Th 0.2573 0.2573 0.0000
Th 0.2573 0.2573 0.5000
Th 0.7427 0.7427 0.0000
Th 0.7427 0.7427 0.5000

Summary:
- ΔE_f: 0.579 eV/atom
- D(E_F): 7.8 states/eV/f.u.
- Energy: -4.92 eV/atom
- Symmetry: Cmcm, No. 63